Entry 1:
{"formula": "ZrPa3O", "functional": "PBE", "state": "relaxed", "lattice": [[4.7923, 0.0000, 0.0000], [0.0000, 4.7923, 0.0000], [0.0000, 0.0000, 4.7923]], "species": ["Zr", "Pa", "Pa", "Pa", "O"], "fractional_positions": [[0.0000, 0.0000, 0.0000], [0.0000, 0.5000, 0.5000], [0.5000, 0.0000, 0.5000], [0.5000, 0.5000, 0.0000], [0.5000, 0.5000, 0.5000]], "dos_at_fermi_per_ev_fu": 9.60, "vol_a3_per_cell": 110.1, "space_group": "Pm-3m (221)"}

---

Entry 2:
{"formula": "Zr2PaO8", "functional": "PBE", "state": "relaxed", "lattice": [[6.7272, -1.8442, 0.0000], [6.7272, 1.8442, 0.0000], [-0.7178, 0.0000, 5.6966]], "species": ["Zr", "Zr", "Pa", "O", "O", "O", "O", "O", "O", "O", "O"], "fractional_positions": [[0.2231, 0.2231, 0.2513], [0.7769, 0.7769, 0.7487], [0.5000, 0.5000, 0.0000], [0.0653, 0.0653, 0.1837], [0.2178, 0.2178, 0.6179], [0.3326, 0.3326, 0.0120], [0.4604, 0.4604, 0.4186], [0.5396, 0.5396, 0.5814], [0.6674, 0.6674, 0.9880], [0.7822, 0.7822, 0.3821], [0.9347, 0.9347, 0.8163]], "vol_a3_per_cell": 141.3, "space_group": "C2/m (12)"}

---

Going through the records in order, we get E_form (uncorrected) values of -848 -2840 meV per atom.